[1]
## CsCu2Br (meta-GGA SCAN)

Data for a crystal of CsCu2Br relaxed with PBEsol.

Cell: 5.1014 5.1014 5.1014 Å, 60.00 60.00 60.00°
Element x y z (fractional)
Cs1 0.5000 0.5000 0.5000
Cu1 0.2500 0.2500 0.2500
Cu2 0.7500 0.7500 0.7500
Br1 0.0000 0.0000 0.0000

D(E_F)	3.41	states/eV/cell
raw formation energy	705	meV per atom

=====

[2]
## Cs2InCuBr6 (meta-GGA SCAN)

Data for a crystal of Cs2InCuBr6 relaxed with PBEsol.

Cell: 7.5347 7.5347 7.5347 Å, 60.00 60.00 60.00°
Element x y z (fractional)
Cs1 0.7500 0.7500 0.7500
Cs2 0.2500 0.2500 0.2500
In1 0.0000 0.0000 0.0000
Cu1 0.5000 0.5000 0.5000
Br1 0.7438 0.2562 0.2562
Br2 0.7438 0.7438 0.2562
Br3 0.2562 0.7438 0.7438
Br4 0.7438 0.2562 0.7438
Br5 0.2562 0.7438 0.2562
Br6 0.2562 0.2562 0.7438

D(E_F)	2.13	states/eV/cell
raw formation energy	-1254	meV per atom

=====

[3]
## CsLiCuBr2 (meta-GGA SCAN)

Data for a crystal of CsLiCuBr2 relaxed with PBEsol.

Cell: 5.2148 5.2148 5.5384 Å, 90.00 90.00 90.00°
Element x y z (fractional)
Cs1 0.0000 0.0000 0.5000
Cu1 0.0000 0.0000 0.0000
Br1 0.0000 0.5000 0.0000
Br2 0.5000 0.0000 0.0000
Li1 0.5000 0.5000 0.5000

D(E_F)	1.66	states/eV/cell
raw formation energy	-348	meV per atom

=====

[4]
## Cs2NdCuBr6 (meta-GGA SCAN)

Data for a crystal of Cs2NdCuBr6 relaxed with PBEsol.

Cell: 7.7410 7.7410 7.7410 Å, 60.00 60.00 60.00°
Element x y z (fractional)
Cs1 0.7500 0.7500 0.7500
Cs2 0.2500 0.2500 0.2500
Nd1 0.5000 0.5000 0.5000
Cu1 0.0000 0.0000 0.0000
Br1 0.7604 0.2396 0.2396
Br2 0.7604 0.7604 0.2396
Br3 0.2396 0.7604 0.7604
Br4 0.7604 0.2396 0.7604
Br5 0.2396 0.7604 0.2396
Br6 0.2396 0.2396 0.7604

D(E_F)	0.00	states/eV/cell
raw formation energy	-1708	meV per atom

=====

[5]
## Cs2PrCuBr6 (meta-GGA SCAN)

Data for a crystal of Cs2PrCuBr6 relaxed with PBEsol.

Cell: 7.7665 7.7665 7.7665 Å, 60.00 60.00 60.00°
Element x y z (fractional)
Cs1 0.7500 0.7500 0.7500
Cs2 0.2500 0.2500 0.2500
Pr1 0.5000 0.5000 0.5000
Cu1 0.0000 0.0000 0.0000
Br1 0.7613 0.2387 0.2387
Br2 0.7613 0.7613 0.2387
Br3 0.2387 0.7613 0.7613
Br4 0.7613 0.2387 0.7613
Br5 0.2387 0.7613 0.2387
Br6 0.2387 0.2387 0.7613

D(E_F)	0.00	states/eV/cell
raw formation energy	-1706	meV per atom

=====

[6]
## CsCuTeBr2 (meta-GGA SCAN)

Data for a crystal of CsCuTeBr2 relaxed with PBEsol.

Cell: 5.0049 5.0049 6.3350 Å, 90.00 90.00 90.00°
Site moments in Bohr magnetons follow the coordinates.
Element x y z (fractional)
Cs1 0.0000 0.0000 0.5000  0.03
Te1 0.5000 0.5000 0.5000  0.77
Cu1 0.0000 0.0000 0.0000  0.02
Br1 0.0000 0.5000 0.0000  0.07
Br2 0.5000 0.0000 0.0000  0.07

D(E_F)	2.30	states/eV/cell
raw formation energy	-297	meV per atom

=====

[7]
## Cs2YCuBr6 (meta-GGA SCAN)

Data for a crystal of Cs2YCuBr6 relaxed with PBEsol.

Cell: 7.6309 7.6309 7.6309 Å, 60.00 60.00 60.00°
Site moments in Bohr magnetons follow the coordinates.
Element x y z (fractional)
Cs1 0.7500 0.7500 0.7500  0.00
Cs2 0.2500 0.2500 0.2500  0.00
Y1 0.5000 0.5000 0.5000  0.00
Cu1 0.0000 0.0000 0.0000  0.06
Br1 0.7563 0.2437 0.2437  0.00
Br2 0.7563 0.7563 0.2437  0.00
Br3 0.2437 0.7563 0.7563  0.00
Br4 0.7563 0.2437 0.7563  0.00
Br5 0.2437 0.7563 0.2437  0.00
Br6 0.2437 0.2437 0.7563  0.00

D(E_F)	0.00	states/eV/cell
raw formation energy	-1722	meV per atom

=====

[8]
## CsEuBr3 (meta-GGA SCAN)

Data for a crystal of CsEuBr3 relaxed with PBEsol.

Cell: 7.9780 8.2964 11.5883 Å, 90.00 90.00 90.00°
Site moments in Bohr magnetons follow the coordinates.
Element x y z (fractional)
Cs1 0.5171 0.4403 0.2500  0.00
Cs2 0.9829 0.9403 0.2500  0.00
Cs3 0.0171 0.0597 0.7500  0.00
Cs4 0.4829 0.5597 0.7500  0.00
Eu1 0.0000 0.5000 0.0000  6.90
Eu2 0.5000 0.0000 0.0000  6.90
Eu3 0.5000 0.0000 0.5000  6.90
Eu4 0.0000 0.5000 0.5000  6.90
Br1 0.8006 0.2027 0.0354  -0.02
Br2 0.1994 0.7973 0.9646  -0.02
Br3 0.3006 0.2973 0.5354  -0.02
Br4 0.6994 0.7027 0.4646  -0.02
Br5 0.6994 0.7027 0.0354  -0.02
Br6 0.9318 0.4887 0.7500  -0.02
Br7 0.8006 0.2027 0.4646  -0.02
Br8 0.4318 0.0113 0.2500  -0.02
Br9 0.3006 0.2973 0.9646  -0.02
Br10 0.0682 0.5113 0.2500  -0.02
Br11 0.1994 0.7973 0.5354  -0.02
Br12 0.5682 0.9887 0.7500  -0.02

raw formation energy	-2176	meV per atom